Record 1
! PBE SrAlAg2, optimized geometry; values from VASP
&SYSTEM
  ibrav = 0, nat = 4, ntyp = 3
/
ATOMIC_SPECIES
Sr 87.62 Sr.upf
Al 26.98 Al.upf
Ag 107.87 Ag.upf
ATOMIC_POSITIONS crystal
Sr 0.500 0.500 0.000
Al 0.500 0.000 0.000
Ag 0.000 0.815 0.630
Ag 0.000 0.185 0.370
CELL_PARAMETERS angstrom
-2.422 -1.834 3.350
5.048 -0.249 3.514
-3.282 3.558 -0.425
! Energy in eV per atom: -2.719
! Space-group type: No. 65
! Mass density in g cm⁻³: 5.24
! DFT formation energy in eV per formula unit: 0.25
! N(E_F) in states/eV/atom: 0.72

***

Record 2
! PBE RbLa2Tc, optimized geometry; values from VASP
&SYSTEM
  ibrav = 0, nat = 8, ntyp = 3
/
ATOMIC_SPECIES
Tc 98.00 Tc.upf
Rb 85.47 Rb.upf
La 138.91 La.upf
ATOMIC_POSITIONS crystal
Tc 0.000 0.000 0.000
Tc 0.750 0.250 0.500
Rb 0.500 0.500 0.000
Rb 0.250 0.750 0.500
La 0.875 0.125 0.250
La 0.875 0.625 0.250
La 0.375 0.125 0.750
La 0.875 0.125 0.750
CELL_PARAMETERS angstrom
-5.434 0.674 -6.315
-5.440 -4.782 4.171
-7.759 2.780 1.442
! Energy in eV per atom: -4.988
! Energy relative to the lowest polymorph listed for this composition in eV per atom: 0.000
! Space-group type: No. 141
! Mass density in g cm⁻³: 3.70
! DFT formation energy in eV per formula unit: 1.24
! N(E_F) in states/eV/atom: 1.27

***

Record 3
! PBE NdDyTlRh, optimized geometry; values from VASP
&SYSTEM
  ibrav = 0, nat = 4, ntyp = 4
/
ATOMIC_SPECIES
Rh 102.91 Rh.upf
Tl 204.38 Tl.upf
Nd 144.24 Nd.upf
Dy 162.50 Dy.upf
ATOMIC_POSITIONS crystal
Rh 0.500 0.500 0.500
Tl 0.000 0.000 0.000
Nd 0.750 0.750 0.750
Dy 0.250 0.250 0.250
CELL_PARAMETERS angstrom
-2.309 3.935 -2.497
-2.730 -0.914 -4.332
-5.183 0.429 0.053
! Energy in eV per atom: -5.203
! Energy relative to the lowest polymorph listed for this composition in eV per atom: 0.130
! Space-group type: No. 216
! Mass density in g cm⁻³: 10.25
! DFT formation energy in eV per formula unit: -1.72
! N(E_F) in states/eV/atom: 0.78

***

Record 4
! PBE Ba2Ag2Au, optimized geometry; values from VASP
&SYSTEM
  ibrav = 0, nat = 5, ntyp = 3
/
ATOMIC_SPECIES
Au 196.97 Au.upf
Ba 137.33 Ba.upf
Ag 107.87 Ag.upf
ATOMIC_POSITIONS crystal
Au 0.000 0.000 0.000
Ba 0.398 0.398 0.204
Ba 0.602 0.602 0.796
Ag 0.750 0.250 0.500
Ag 0.250 0.750 0.500
CELL_PARAMETERS angstrom
-0.926 -3.651 1.527
3.477 -1.499 -1.476
5.703 -0.301 8.144
! Energy in eV per atom: -2.878
! Energy relative to the lowest polymorph listed for this composition in eV per atom: 0.116
! Space-group type: No. 139
! Mass density in g cm⁻³: 7.26
! DFT formation energy in eV per formula unit: -1.57
! N(E_F) in states/eV/atom: 0.50